VASP calculation (GGA-PBE) on a geometry-optimized Ho4Sc9In11 structure.

Cell and atoms, written as POSCAR:
```
Ho4Sc9In11
1.0
7.7245 -11.3554 0.0000
7.7245 11.3554 0.0000
0.0000 0.0000 3.2727
Ho Sc In
4 9 11
Direct
0.0951 0.2568 0.0000
0.2568 0.0951 0.0000
0.7432 0.9049 0.0000
0.9049 0.7432 0.0000
0.0000 0.0000 0.0000
0.1111 0.6699 0.0000
0.2997 0.4952 0.0000
0.3301 0.8889 0.0000
0.4952 0.2997 0.0000
0.5048 0.7003 0.0000
0.6699 0.1111 0.0000
0.7003 0.5048 0.0000
0.8889 0.3301 0.0000
0.0927 0.4628 0.5000
0.1210 0.8790 0.5000
0.3046 0.3046 0.5000
0.3094 0.6906 0.5000
0.4628 0.0927 0.5000
0.5000 0.5000 0.5000
0.5372 0.9073 0.5000
0.6906 0.3094 0.5000
0.6954 0.6954 0.5000
0.8790 0.1210 0.5000
0.9073 0.5372 0.5000
```

Computed properties:
**Calculated volume**: 23.92 Å³/atom
**Size of the total moment**: 2.2 μB per cell
**Calculated formation energy**: -34.9 kJ/mol of atoms